[1]
A plane-wave DFT calculation with PBE was carried out for La3CeTl4Se8 after structural relaxation.

Lattice parameters (Å, degrees): 8.8266 8.8266 23.0977 90.00 90.00 120.00
Space group R-3m (No. 166, hexagonal axes)
Inequivalent atoms, fractional coordinates:
1 La 0.0000 0.5000 0.0000 x9
2 Ce 0.0000 0.0000 0.0000 x3
3 Tl 0.0000 0.0000 0.5000 x3
4 Tl 0.0000 0.5000 0.5000 x9
5 Se 0.0000 0.0000 0.2629 x6
6 Se 0.0032 0.5016 0.7368 x18

Calculated values
- D(E_F) (states/eV per cell) = 16.9
- M_tot (μB/cell) = 3.01
- ρ (g/cm3) = 6.412
- raw total energy (eV/atom) = -5.05
- raw formation energy (eV/atom) = -1.422

[2]
A plane-wave DFT calculation with PBE was carried out for La2CeTl3Se6 after structural relaxation.

Lattice parameters (Å, degrees): 7.636 13.227 8.111 90.00 108.28 90.00
Space group C2/m (No. 12)
Inequivalent atoms, fractional coordinates:
1 La 0.000 0.167 0.000 x4
2 Ce 0.000 0.500 0.000 x2
3 Tl 0.000 0.000 0.500 x2
4 Tl 0.000 0.333 0.500 x4
5 Se 0.235 0.335 0.210 x8
6 Se 0.240 0.000 0.211 x4

Calculated values
- D(E_F) (states/eV per cell) = 11.4
- M_tot (μB/cell) = 2.01
- ρ (g/cm3) = 6.425
- raw total energy (eV/atom) = -5.06
- raw formation energy (eV/atom) = -1.410

[3]
A plane-wave DFT calculation with PBE was carried out for La2CeTm3Se6 after structural relaxation.

Lattice parameters (Å, degrees): 18.266 4.077 8.450 90.00 105.64 90.00
Space group C2/m (No. 12)
Inequivalent atoms, fractional coordinates:
1 La 0.165 0.000 0.331 x4
2 Ce 0.000 0.500 0.000 x2
3 Tm 0.000 0.500 0.500 x2
4 Tm 0.167 0.000 0.835 x4
5 Se 0.006 0.000 0.740 x4
6 Se 0.162 0.500 0.597 x4
7 Se 0.171 0.500 0.069 x4

Calculated values
- D(E_F) (states/eV per cell) = 20.9
- M_tot (μB/cell) = 2.58
- ρ (g/cm3) = 7.664
- raw total energy (eV/atom) = -5.99
- raw formation energy (eV/atom) = -1.813

[4]
A plane-wave DFT calculation with PBE was carried out for LaCe3Tm2Se6 after structural relaxation.

Lattice parameters (Å, degrees): 7.180 12.452 7.256 90.00 109.36 90.00
Space group C2/m (No. 12)
Inequivalent atoms, fractional coordinates:
1 La 0.000 0.000 0.000 x2
2 Ce 0.000 0.160 0.500 x4
3 Ce 0.000 0.500 0.500 x2
4 Tm 0.000 0.332 0.000 x4
5 Se 0.230 0.500 0.235 x4
6 Se 0.245 0.326 0.758 x8

Calculated values
- D(E_F) (states/eV per cell) = 38.7
- M_tot (μB/cell) = 6.03
- ρ (g/cm3) = 7.439
- raw total energy (eV/atom) = -6.18
- raw formation energy (eV/atom) = -1.799